(1)
Below is a geometry-optimized HfZn2Cr structure, with properties calculated at the PBE-GGA level.

Geometry as POSCAR:
```
HfZn2Cr
1.0
-1.414 -2.462 -2.498
3.413 -0.345 -1.592
3.095 -8.790 4.048
Cr Zn Hf
2 4 2
direct
0.500 0.500 0.000
0.250 0.750 0.500
0.604 0.125 0.250
0.146 0.625 0.250
0.375 0.396 0.750
0.875 0.854 0.750
0.000 0.000 0.000
0.750 0.250 0.500
```

Computed properties:
The energy above the most stable polymorph in this dataset comes out at 0.431 eV per atom. Its volume is 140.18 Å³/cell. The total magnetization comes out at 2.45 μB per formula unit. The value obtained for the density of states at the Fermi level is 3.5 states/eV/f.u. The crystal system is tetragonal.

(2)
Below is a geometry-optimized Hf4Zn3Cr structure, with properties calculated at the PBE-GGA level.

Geometry as POSCAR:
```
Hf4Zn3Cr
1.0
3.274 0.000 0.000
0.000 3.274 0.000
0.000 0.000 13.233
Cr Zn Hf
1 3 4
direct
0.500 0.500 0.000
0.500 0.500 0.246
0.500 0.500 0.500
0.500 0.500 0.754
0.000 0.000 0.885
0.000 0.000 0.115
0.000 0.000 0.372
0.000 0.000 0.628
```

Computed properties:
The uncorrected energy comes out at -54.38 eV for the cell shown. Its volume is 141.81 Å³/cell. The total magnetization comes out at 0.01 μB per formula unit. The value obtained for the density of states at the Fermi level is 6.2 states/eV/f.u. The crystal system is tetragonal.

(3)
Below is a geometry-optimized HfZn2Cr structure, with properties calculated at the PBE-GGA level.

Geometry as POSCAR:
```
HfZn2Cr
1.0
0.000 3.187 3.187
3.187 0.000 3.187
3.187 3.187 0.000
Cr Zn Hf
1 2 1
direct
0.000 0.000 0.000
0.250 0.250 0.250
0.750 0.750 0.750
0.500 0.500 0.500
```

Computed properties:
The energy above the most stable polymorph in this dataset comes out at 0.000 eV per atom. Its volume is 64.75 Å³/cell. The total magnetization comes out at 3.25 μB per formula unit. The value obtained for the density of states at the Fermi level is 2.7 states/eV/f.u. The crystal system is cubic.

(4)
Below is a geometry-optimized Hf2ZnCr2 structure, with properties calculated at the PBE-GGA level.

Geometry as POSCAR:
```
Hf2ZnCr2
1.0
-3.513 -5.481 -0.359
3.258 -1.736 -5.374
2.686 -1.868 2.231
Cr Zn Hf
4 2 4
direct
0.390 0.890 0.000
0.890 0.610 0.000
0.610 0.110 0.000
0.110 0.390 0.000
0.000 0.000 0.000
0.500 0.500 0.000
0.182 0.682 0.500
0.682 0.818 0.500
0.818 0.318 0.500
0.318 0.182 0.500
```

Computed properties:
The uncorrected energy comes out at -80.02 eV for the cell shown. Its volume is 168.34 Å³/cell. The total magnetization comes out at 0.00 μB per formula unit. The value obtained for the density of states at the Fermi level is 4.1 states/eV/f.u. The crystal system is tetragonal.

(5)
Below is a geometry-optimized HfZrCr2 structure, with properties calculated at the PBE-GGA level.

Geometry as POSCAR:
```
HfZrCr2
1.0
-3.891 -4.947 3.366
2.085 -4.884 -4.768
1.387 -5.576 0.976
Cr Hf Zr
4 2 2
direct
0.625 0.125 0.250
0.125 0.625 0.250
0.375 0.375 0.750
0.875 0.875 0.750
0.000 0.000 0.000
0.750 0.250 0.500
0.500 0.500 0.000
0.250 0.750 0.500
```

Computed properties:
The energy above the most stable polymorph in this dataset comes out at 0.570 eV per atom. Its volume is 148.45 Å³/cell. The total magnetization comes out at 4.02 μB per formula unit. The value obtained for the density of states at the Fermi level is 3.3 states/eV/f.u. The crystal system is tetragonal.

(6)
Below is a geometry-optimized HfZr2Cr structure, with properties calculated at the PBE-GGA level.

Geometry as POSCAR:
```
HfZr2Cr
1.0
3.288 0.000 0.000
0.000 3.288 0.000
0.000 0.000 7.387
Cr Hf Zr
1 1 2
direct
0.500 0.500 0.000
0.500 0.500 0.500
0.000 0.000 0.785
0.000 0.000 0.215
```

Computed properties:
The energy above the most stable polymorph in this dataset comes out at 0.000 eV per atom. Its volume is 79.87 Å³/cell. The total magnetization comes out at 1.38 μB per formula unit. The value obtained for the density of states at the Fermi level is 5.4 states/eV/f.u. The crystal system is tetragonal.

(7)
Below is a geometry-optimized Hf2ZrCr structure, with properties calculated at the PBE-GGA level.

Geometry as POSCAR:
```
Hf2ZrCr
1.0
0.000 3.380 3.380
3.380 0.000 3.380
3.380 3.380 0.000
Cr Hf Zr
1 2 1
direct
0.000 0.000 0.000
0.250 0.250 0.250
0.750 0.750 0.750
0.500 0.500 0.500
```

Computed properties:
The energy above the most stable polymorph in this dataset comes out at 0.202 eV per atom. Its volume is 77.20 Å³/cell. The total magnetization comes out at 0.00 μB per formula unit. The value obtained for the density of states at the Fermi level is 7.6 states/eV/f.u. The crystal system is cubic.

(8)
Below is a geometry-optimized Hf2ZrCr2 structure, with properties calculated at the PBE-GGA level.

Geometry as POSCAR:
```
Hf2ZrCr2
1.0
-2.649 3.226 -6.162
4.089 -4.612 -4.172
-2.559 -2.215 -0.059
Cr Hf Zr
4 4 2
direct
0.366 0.866 0.000
0.866 0.634 0.000
0.634 0.134 0.000
0.134 0.366 0.000
0.159 0.659 0.500
0.659 0.841 0.500
0.841 0.341 0.500
0.341 0.159 0.500
0.000 0.000 0.000
0.500 0.500 0.000
```

Computed properties:
The uncorrected energy comes out at -93.13 eV for the cell shown. Its volume is 187.54 Å³/cell. The total magnetization comes out at 2.92 μB per formula unit. The value obtained for the density of states at the Fermi level is 6.1 states/eV/f.u. The crystal system is tetragonal.

(9)
Below is a geometry-optimized HfZrCr2 structure, with properties calculated at the PBE-GGA level.

Geometry as POSCAR:
```
HfZrCr2
1.0
0.000 3.256 3.256
3.256 0.000 3.256
3.256 3.256 0.000
Cr Hf Zr
2 1 1
direct
0.250 0.250 0.250
0.750 0.750 0.750
0.500 0.500 0.500
0.000 0.000 0.000
```

Computed properties:
The energy above the most stable polymorph in this dataset comes out at 0.000 eV per atom. Its volume is 69.06 Å³/cell. The total magnetization comes out at 3.72 μB per formula unit. The value obtained for the density of states at the Fermi level is 5.2 states/eV/f.u. The crystal system is cubic.

(10)
Below is a geometry-optimized HfZr2Cr structure, with properties calculated at the PBE-GGA level.

Geometry as POSCAR:
```
HfZr2Cr
1.0
7.581 0.000 0.000
0.000 7.581 0.000
3.790 3.790 2.917
Cr Hf Zr
2 2 4
direct
0.500 0.500 0.000
0.250 0.750 0.500
0.000 0.000 0.000
0.750 0.250 0.500
0.585 0.125 0.250
0.165 0.625 0.250
0.375 0.415 0.750
0.875 0.835 0.750
```

Computed properties:
The energy above the most stable polymorph in this dataset comes out at 0.394 eV per atom. Its volume is 167.63 Å³/cell. The total magnetization comes out at 1.59 μB per formula unit. The value obtained for the density of states at the Fermi level is 4.3 states/eV/f.u. The crystal system is tetragonal.

(11)
Below is a geometry-optimized Hf2ZrCr structure, with properties calculated at the PBE-GGA level.

Geometry as POSCAR:
```
Hf2ZrCr
1.0
-7.083 2.549 0.821
-1.946 -3.302 -6.531
-5.220 -2.802 -1.418
Cr Hf Zr
2 4 2
direct
0.500 0.500 0.000
0.250 0.750 0.500
0.582 0.125 0.250
0.168 0.625 0.250
0.375 0.418 0.750
0.875 0.832 0.750
0.000 0.000 0.000
0.750 0.250 0.500
```

Computed properties:
The energy above the most stable polymorph in this dataset comes out at 0.461 eV per atom. Its volume is 166.60 Å³/cell. The total magnetization comes out at 1.64 μB per formula unit. The value obtained for the density of states at the Fermi level is 3.8 states/eV/f.u. The crystal system is tetragonal.

(12)
Below is a geometry-optimized HfZrCr4 structure, with properties calculated at the PBE-GGA level.

Geometry as POSCAR:
```
HfZrCr4
1.0
5.033 0.000 0.000
2.516 4.358 0.000
2.516 1.453 4.109
Cr Hf Zr
4 1 1
direct
0.625 0.625 0.125
0.625 0.125 0.625
0.625 0.625 0.625
0.125 0.625 0.625
0.000 0.000 0.000
0.250 0.250 0.250
```

Computed properties:
The uncorrected energy comes out at -57.51 eV for the cell shown. Its volume is 90.13 Å³/cell. The total magnetization comes out at 0.00 μB per formula unit. The value obtained for the density of states at the Fermi level is 5.2 states/eV/f.u. The crystal system is cubic.

Look up the volume of the second one.
141.81 Å³/cell

The highest volume belongs to which entry?
Hf2ZrCr2

Copy entry 4 word for word.
Below is a geometry-optimized Hf2ZnCr2 structure, with properties calculated at the PBE-GGA level.

Geometry as POSCAR:
```
Hf2ZnCr2
1.0
-3.513 -5.481 -0.359
3.258 -1.736 -5.374
2.686 -1.868 2.231
Cr Zn Hf
4 2 4
direct
0.390 0.890 0.000
0.890 0.610 0.000
0.610 0.110 0.000
0.110 0.390 0.000
0.000 0.000 0.000
0.500 0.500 0.000
0.182 0.682 0.500
0.682 0.818 0.500
0.818 0.318 0.500
0.318 0.182 0.500
```

Computed properties:
The uncorrected energy comes out at -80.02 eV for the cell shown. Its volume is 168.34 Å³/cell. The total magnetization comes out at 0.00 μB per formula unit. The value obtained for the density of states at the Fermi level is 4.1 states/eV/f.u. The crystal system is tetragonal.

Among the records above, which one has the highest volume?
Hf2ZrCr2